# MgNiH2F PBE with a Hubbard U optimized geometry
# Electronic total energy ... -13.3 eV per formula unit
# Crystal system ... tetragonal
# Magnetization ... 1.0 μB/f.u.
data_MgNiH2F
_chemical_formula_sum 'Mg1 Ni1 H2 F1'
_symmetry_space_group_name_H-M 'P 4/m m m'
_symmetry_Int_Tables_number 123
_symmetry_space_group_name_Hall '-P 4 2'
_cell_length_a 3.355
_cell_length_b 3.355
_cell_length_c 6.043
_cell_angle_alpha 90.00
_cell_angle_beta 90.00
_cell_angle_gamma 90.00
loop_
_atom_site_label
_atom_site_type_symbol
_atom_site_fract_x
_atom_site_fract_y
_atom_site_fract_z
Mg1 Mg 0.000 0.000 0.000
Ni1 Ni 0.000 0.000 0.500
H1 H 0.000 0.500 0.000
F1 F 0.500 0.500 0.500